Record 1
Material: Sm6MgTl5
Method: DFT, GGA-PBE
State: optimized geometry

```
Sm6MgTl5
1.0
5.2168 0.0043 -1.6054
-0.8444 7.1527 -2.7258
0.0511 -0.5399 9.4464
Tl Mg Sm
5 1 6
Cartesian
1.1047 5.6529 3.6143
3.3188 0.9642 1.5010
-0.4222 3.5763 -1.3629
2.9337 4.5964 0.2730
1.4898 2.0206 4.8422
0.0000 0.0000 0.0000
2.3932 1.8252 -1.4974
0.1229 6.3750 0.4142
3.8815 3.7912 3.3483
2.0302 4.7918 6.6126
4.3006 0.2420 4.7011
0.5420 2.8258 1.7669
```

## Properties
Spin magnetization: 0.0 Bohr magnetons per cell
DOS at the Fermi energy: 11.0 states/eV/f.u.
ΔH_f (0 K): -0.341 eV/atom
Volume: 344.69 Å³/cell

=====

Record 2
Material: Sm6MgTl5
Method: DFT, GGA-PBE
State: optimized geometry

```
Sm6MgTl5
1.0
-0.7760 6.3477 1.4296
-8.1491 2.5291 -5.4178
-7.4499 -0.1435 1.7107
Tl Sm Mg
5 6 1
Cartesian
-9.5580 5.2771 -3.3662
-5.3402 0.7366 -1.0517
-4.4625 4.4384 -1.9941
-6.8169 3.4563 1.0887
-10.2587 1.6491 -2.6554
-2.3273 2.1468 -1.0934
-8.9977 5.6959 -0.1206
-7.3773 3.0374 -2.1569
-3.8230 4.8902 1.1478
-12.5520 3.8431 -3.4253
-6.5978 6.7300 -2.8948
0.0000 0.0000 0.0000
```

## Properties
Spin magnetization: 0.0 Bohr magnetons per cell
DOS at the Fermi energy: 10.5 states/eV/f.u.
ΔH_f (0 K): -0.209 eV/atom
Volume: 370.55 Å³/cell

=====

Record 3
Material: Sm6Mg2Tl
Method: DFT, GGA-PBE
State: optimized geometry

```
Sm6Mg2Tl
1.0
3.4976 0.0000 -0.1557
0.0000 10.2026 0.0000
-1.4020 -5.1013 7.8474
Mg Sm Tl
2 6 1
Cartesian
0.1172 5.1013 2.4333
1.9784 0.0000 5.2584
0.1186 -1.6647 2.7329
0.1186 1.6647 2.7329
1.7488 7.0005 -0.0779
1.7488 3.2021 -0.0779
1.9769 3.4366 4.9587
1.9769 6.7660 4.9587
0.0000 0.0000 0.0000
```

## Properties
Spin magnetization: 0.0 Bohr magnetons per cell
DOS at the Fermi energy: 12.0 states/eV/f.u.
ΔH_f (0 K): 0.034 eV/atom
Volume: 277.80 Å³/cell

=====

Record 4
Material: Sm5MgTl8
Method: DFT, GGA-PBE
State: optimized geometry

```
Sm5MgTl8
1.0
8.0956 0.0786 -0.1351
-2.6653 7.6447 0.1351
-2.7651 -3.8266 6.5784
Sm Mg Tl
5 1 8
Cartesian
6.6054 2.4520 0.6870
2.6902 2.5536 3.9851
2.7376 1.0109 0.1145
4.1580 5.6822 1.6566
2.6653 -1.8740 3.2216
-1.3825 0.9721 4.9676
5.6368 -1.8807 4.6154
1.4907 3.8078 1.2583
-1.0118 5.6010 0.2390
1.4009 -0.0702 5.5936
0.5229 0.5135 2.5267
-2.3516 3.5815 3.7521
4.7905 0.4744 2.5527
0.1826 3.5597 5.7756
```

## Properties
Spin magnetization: 0.0 Bohr magnetons per cell
DOS at the Fermi energy: 10.4 states/eV/f.u.
ΔH_f (0 K): -0.228 eV/atom
Volume: 408.42 Å³/cell

=====

Look up the volume of the fourth one. 408.42 Å³/cell

=====

Number 4 is which compound? Sm5MgTl8

=====

Among the records above, which one has the lowest volume? Sm6Mg2Tl